1.
## ScNbTc (PBE)

Data for a relaxed structure of ScNbTc.

Calculated values
Formation energy from the elements, meV/atom: 172
Fermi-level density of states, states/eV per atom: 1.32
ΔE to the lowest computed polymorph, kJ per mole of atoms: 35.81
Total magnetic moment, μB per atom: 0.000
Theoretical density, Mg/m³: 6.29
Volume, Å³ per atom: 20.74

a = 6.3212 Å, b = 6.3098 Å, c = 6.9808 Å
α = 90.00°, β = 116.62°, γ = 90.00°
Closest atoms and distances in Å follow each position.
Space group C2/m (No. 12)
Symmetry-distinct sites (fractional):
Sc 0.2500 0.2500 0.0000 [4 per cell]  4 Tc 2.79-2.80, 2 Nb 3.12
Nb 0.0000 0.2503 0.5000 [4 per cell]  4 Tc 2.65-2.66
Tc 0.1352 0.0000 0.2700 [4 per cell]  4 Nb 2.65-2.66, 4 Sc 2.79-2.80

2.
## NdMgGa (PBE)

Data for a relaxed structure of NdMgGa.

Calculated values
Formation energy from the elements, meV/atom: -373
Fermi-level density of states, states/eV per atom: 0.21
Total magnetic moment, μB per atom: 0.000
Theoretical density, Mg/m³: 4.89
Volume, Å³ per atom: 26.99

a = 6.8673 Å, b = 6.8673 Å, c = 6.8673 Å
α = 90.00°, β = 90.00°, γ = 90.00°
Closest atoms and distances in Å follow each position.
Space group F-43m (No. 216)
Symmetry-distinct sites (fractional):
Nd 0.0000 0.0000 0.0000 [4 per cell]  4 Ga 2.97
Mg 0.0000 0.0000 0.5000 [4 per cell]  4 Ga 2.97
Ga 0.2500 0.2500 0.2500 [4 per cell]  4 Mg 2.97, 4 Nd 2.97

3.
## TaMn4Mo (PBE)

Data for a relaxed structure of TaMn4Mo.

Calculated values
Formation energy from the elements, meV/atom: -117
Fermi-level density of states, states/eV per atom: 1.56
Total magnetic moment, μB per atom: 0.000
Theoretical density, Mg/m³: 10.75
Volume, Å³ per atom: 12.78

a = 6.7445 Å, b = 6.7445 Å, c = 6.7445 Å
α = 90.00°, β = 90.00°, γ = 90.00°
Closest atoms and distances in Å follow each position.
Space group F-43m (No. 216)
Symmetry-distinct sites (fractional):
Ta 0.0000 0.0000 0.0000 [4 per cell]  12 Mn 2.79, 4 Mo 2.92
Mn 0.1261 0.1261 0.6261 [16 per cell]  6 Mn 2.36-2.41
Mo 0.2500 0.2500 0.2500 [4 per cell]  12 Mn 2.80, 4 Ta 2.92

4.
## YMgAs2Se (PBE)

Data for a relaxed structure of YMgAs2Se.

Calculated values
Fermi-level density of states, states/eV per atom: 1.06
ΔE to the lowest computed polymorph, kJ per mole of atoms: 22.68
Total magnetic moment, μB per atom: 0.000
Theoretical density, Mg/m³: 3.58
Volume, Å³ per atom: 31.70

a = 5.4192 Å, b = 5.4192 Å, c = 5.3966 Å
α = 90.00°, β = 90.00°, γ = 90.00°
Closest atoms and distances in Å follow each position.
Space group P4/mmm (No. 123)
Symmetry-distinct sites (fractional):
Y 0.0000 0.0000 0.0000 [1 per cell]  2 Se 2.70, 4 As 2.71
Mg 0.5000 0.5000 0.5000 [1 per cell]  8 As 3.82, 4 Se 3.83
As 0.0000 0.5000 0.0000 [2 per cell]  2 Y 2.71
Se 0.0000 0.0000 0.5000 [1 per cell]  2 Y 2.70

5.
## PmZn3Hg (PBE)

Data for a relaxed structure of PmZn3Hg.

Calculated values
Formation energy from the elements, meV/atom: -3
Fermi-level density of states, states/eV per atom: 0.62
Total magnetic moment, μB per atom: 0.000
Theoretical density, Mg/m³: 8.04
Volume, Å³ per atom: 22.37

a = 6.4625 Å, b = 6.4625 Å, c = 12.3704 Å
α = 90.00°, β = 90.00°, γ = 120.00°
Closest atoms and distances in Å follow each position.
Space group P6_3/mmc (No. 194)
Symmetry-distinct sites (fractional):
Pm 0.0000 0.0000 0.0000 [2 per cell]  12 Zn 3.23-3.40
Pm 0.3333 0.6667 0.2500 [2 per cell]  12 Zn 3.26-3.61
Zn 0.0000 0.5000 0.0000 [6 per cell]  2 Hg 2.52
Zn 0.1272 0.2544 0.7500 [6 per cell]  2 Zn 2.47, 2 Hg 2.70
Hg 0.3333 0.6667 0.6370 [4 per cell]  6 Zn 2.52-2.70, 1 Hg 2.80

6.
## SrSnH3 (PBE)

Data for a relaxed structure of SrSnH3.

Calculated values
Fermi-level density of states, states/eV per atom: 0.30
ΔE to the lowest computed polymorph, kJ per mole of atoms: 0.00
Total magnetic moment, μB per atom: 0.000
Theoretical density, Mg/m³: 4.47
Volume, Å³ per atom: 15.55

a = 4.2679 Å, b = 4.2679 Å, c = 4.2679 Å
α = 90.00°, β = 90.00°, γ = 90.00°
Closest atoms and distances in Å follow each position.
Space group Pm-3m (No. 221)
Symmetry-distinct sites (fractional):
Sr 0.0000 0.0000 0.0000 [1 per cell]  12 H 3.02
Sn 0.5000 0.5000 0.5000 [1 per cell]  6 H 2.13
H 0.0000 0.5000 0.5000 [3 per cell]  2 Sn 2.13